Compound: K2TbSbTe4
Source: Alexandria
Functional: PBE-GGA
Structure: optimized geometry

The space group is P2/m (No. 10) and the conventional cell measures 7.871, 4.513 and 8.625 Å, with angles of 90.00, 107.43 and 90.00 degrees. Symmetry generates all atoms from K at (0.000, 0.000, 0.000), K at (0.500, 0.500, 0.000), Tb at (0.000, 0.500, 0.500), Sb at (0.500, 0.000, 0.500), Te at (0.237, 0.000, 0.707) and Te at (0.265, 0.500, 0.294).

The value obtained for the formation energy without anion corrections is -0.96 eV per atom. Its crystal system is monoclinic.

Compound: K3Tb3SbTe8
Source: Alexandria
Functional: PBE-GGA
Structure: optimized geometry

The space group is C2/m (No. 12) and the conventional cell measures 15.406, 8.875 and 9.879 Å, with angles of 90.00, 121.42 and 90.00 degrees. Symmetry generates all atoms from K at (0.000, 0.000, 0.000), K at (0.250, 0.250, 0.000), Tb at (0.000, 0.500, 0.500), Tb at (0.250, 0.250, 0.500), Sb at (0.000, 0.000, 0.500), Te at (0.014, 0.247, 0.295), Te at (0.233, 0.000, 0.705) and Te at (0.237, 0.500, 0.710).

The value obtained for the formation energy without anion corrections is -1.10 eV per atom. Its crystal system is monoclinic.

Compound: KTcSb3
Source: Alexandria
Functional: PBE-GGA
Structure: optimized geometry

The space group is Pm-3m (No. 221) and the conventional cell measures 5.319, 5.319 and 5.319 Å, with angles of 90.00, 90.00 and 90.00 degrees. Symmetry generates all atoms from K at (0.000, 0.000, 0.000), Tc at (0.500, 0.500, 0.500) and Sb at (0.000, 0.500, 0.500).

The value obtained for the formation energy without anion corrections is 0.21 eV per atom. Its crystal system is cubic. The calculation puts the relative energy among the computed polymorphs at 0.0 meV per atom.

| no. | total moment (μB/f.u.) |
| --- | --- |
| 1 | 0.0 |
| 2 | 0.0 |
| 3 | 1.1 |